This record from Alexandria via LeMat-Bulk describes an optimized crystal structure of Na6Sn2Bi. The functional is GGA-PBE.

For the formation energy, the calculation gives -0.20 eV/atom. The calculation puts the magnetization at 0.0 μB per formula unit. The calculation puts the calculated volume at 734 Å³/cell.

It has space group R-3m (No. 166, hexagonal axes), with a = 9.2400 Å, b = 9.2400 Å, c = 9.9333 Å, α = 90.00°, β = 90.00° and γ = 120.00°. The inequivalent atoms are Na at (0.0000, 0.3326, 0.0000), Sn at (0.0000, 0.0000, 0.1609) and Bi at (0.0000, 0.0000, 0.5000).